Nb5Ni41B12 PBE relaxed; formation energy from the elements = -0.3352 eV/atom; D(E_F) = 44.7 states/eV per cell
1.0
12.9514 -0.0034 -0.0021
10.7942 7.1572 -0.0021
10.7942 3.2519 6.3757
Ni B Nb
41 12 5
Direct
0.3310 0.6684 0.6684
0.0000 0.3432 0.6568
0.3432 0.6568 0.0000
0.8407 0.1593 0.5000
0.0000 0.6568 0.3432
0.6568 0.3432 0.0000
0.6684 0.3310 0.6684
0.5000 0.8407 0.1593
0.4226 0.9621 0.4226
0.4226 0.4226 0.9621
0.5774 0.5774 0.0379
0.5000 0.5000 0.5000
0.5000 0.1593 0.8407
0.9621 0.4226 0.4226
0.3432 0.0000 0.6568
0.6922 0.6922 0.6922
0.5392 0.0764 0.0764
0.8266 0.1737 0.1737
0.1925 0.1925 0.1925
0.3078 0.3078 0.3078
0.1734 0.8263 0.8263
0.1593 0.5000 0.8407
0.0764 0.5392 0.0764
0.1593 0.8407 0.5000
0.1737 0.1737 0.8266
0.9236 0.9236 0.4608
0.5774 0.0379 0.5774
0.8263 0.1734 0.8263
0.3316 0.3316 0.6690
0.6568 0.0000 0.3432
0.3316 0.6690 0.3316
0.6684 0.6684 0.3310
0.0764 0.0764 0.5392
0.9236 0.4608 0.9236
0.8075 0.8075 0.8075
0.4608 0.9236 0.9236
0.0379 0.5774 0.5774
0.1737 0.8266 0.1737
0.8407 0.5000 0.1593
0.6690 0.3316 0.3316
0.8263 0.8263 0.1734
0.6343 0.6343 0.0976
0.1326 0.6013 0.1326
0.1326 0.1326 0.6013
0.6013 0.1326 0.1326
0.3657 0.9024 0.3657
0.8674 0.8674 0.3987
0.3987 0.8674 0.8674
0.0976 0.6343 0.6343
0.9024 0.3657 0.3657
0.6343 0.0976 0.6343
0.8674 0.3987 0.8674
0.3657 0.3657 0.9024
0.1254 0.1254 0.1254
0.3753 0.3753 0.3753
0.6247 0.6247 0.6247
0.8746 0.8746 0.8746
0.0000 0.0000 0.0000

Nb2Ni3B6 PBE relaxed; formation energy from the elements = -0.3656 eV/atom; D(E_F) = 4.6 states/eV per cell
1.0
-1.0806 -2.9755 0.7919
4.5706 -2.2877 -2.3587
2.0581 0.6366 5.2006
Nb B Ni
2 6 3
Direct
0.0000 0.2827 0.7173
0.0000 0.7173 0.2827
0.5000 0.9300 0.6209
0.5000 0.3791 0.0700
0.5000 0.0700 0.3791
0.5000 0.6209 0.9300
0.5000 0.6112 0.6112
0.5000 0.3888 0.3888
0.5000 0.0000 0.0000
0.0000 0.2308 0.2308
0.0000 0.7692 0.7692